(1)
DFT (PBE) results for K2Mn2SeS2 after structural relaxation.

formation energy without anion corrections = -805 meV/atom
electronic total energy = -5.415 eV per atom

a = 13.873 Å, b = 4.102 Å, c = 8.193 Å
α = 90.00°, β = 125.15°, γ = 90.00°
Space group C2/m (No. 12)
Asymmetric unit:
1 K 0.060 0.000 0.268 [4 per cell]
2 Mn 0.199 0.500 0.821 [4 per cell]
3 Se 0.000 0.500 0.500 [2 per cell]
4 S 0.183 0.500 0.110 [4 per cell]

(2)
DFT (PBE) results for CoSbBr2 after structural relaxation.

formation energy without anion corrections = 683 meV/atom
ΔE to the lowest computed polymorph = 818 meV per atom
electronic total energy = -2.960 eV per atom
DOS at the Fermi energy = 6.85 states/eV/f.u.

a = 5.157 Å, b = 5.157 Å, c = 3.444 Å
α = 90.00°, β = 90.00°, γ = 90.00°
Space group P4/mmm (No. 123)
Asymmetric unit:
1 Co 0.000 0.000 0.000 [1 per cell]
2 Sb 0.500 0.500 0.000 [1 per cell]
3 Br 0.000 0.500 0.500 [2 per cell]

(3)
DFT (PBE) results for Li2NiAg after structural relaxation.

electronic total energy = -3.134 eV per atom
DFT formation energy = -2 kJ per mole of atoms
DOS at the Fermi energy = 1.35 states/eV/f.u.

a = 3.018 Å, b = 4.389 Å, c = 8.465 Å
α = 90.00°, β = 90.00°, γ = 90.00°
Space group Immm (No. 71)
Asymmetric unit:
1 Li 0.000 0.000 0.238 [4 per cell]
2 Ni 0.000 0.500 0.500 [2 per cell]
3 Ag 0.000 0.500 0.000 [2 per cell]

(4)
DFT (PBE) results for AcLa2PmPr2 after structural relaxation.

electronic total energy = -4.675 eV per atom
DFT formation energy = 4 kJ per mole of atoms
DOS at the Fermi energy = 8.82 states/eV/f.u.

a = 7.394 Å, b = 5.921 Å, c = 10.254 Å
α = 90.00°, β = 90.00°, γ = 90.00°
Space group Pmma (No. 51)
Asymmetric unit:
1 Ac 0.000 0.000 0.000 [2 per cell]
2 La 0.000 0.500 0.500 [2 per cell]
3 La 0.250 0.000 0.335 [2 per cell]
4 Pm 0.250 0.500 0.832 [2 per cell]
5 Pr 0.250 0.000 0.664 [2 per cell]
6 Pr 0.250 0.500 0.170 [2 per cell]

(5)
DFT (PBE) results for Li2Dy2ScTl2 after structural relaxation.

electronic total energy = -3.596 eV per atom
DFT formation energy = -15 kJ per mole of atoms
DOS at the Fermi energy = 4.91 states/eV/f.u.

a = 4.7387 Å, b = 4.7387 Å, c = 26.3440 Å
α = 90.00°, β = 90.00°, γ = 120.00°
Space group R-3m (No. 166, hexagonal axes)
Asymmetric unit:
1 Li 0.0000 0.0000 0.1157 [6 per cell]
2 Dy 0.0000 0.0000 0.3751 [6 per cell]
3 Sc 0.0000 0.0000 0.5000 [3 per cell]
4 Tl 0.0000 0.0000 0.2338 [6 per cell]

(6)
DFT (PBE) results for Ce2Er5Tm4 after structural relaxation.

ΔE to the lowest computed polymorph = 0 meV per atom
electronic total energy = -4.676 eV per atom
DFT formation energy = 10 kJ per mole of atoms
DOS at the Fermi energy = 21.45 states/eV/f.u.

a = 3.457 Å, b = 8.611 Å, c = 11.501 Å
α = 96.98°, β = 98.59°, γ = 90.01°
Space group P-1 (No. 2)
Asymmetric unit:
1 Ce 0.187 0.436 0.373 [2 per cell]
2 Er 0.034 0.347 0.073 [2 per cell]
3 Er 0.236 0.822 0.473 [2 per cell]
4 Er 0.500 0.000 0.000 [1 per cell]
5 Tm 0.131 0.053 0.260 [2 per cell]
6 Tm 0.400 0.302 0.801 [2 per cell]

(7)
DFT (PBE) results for CdBPt3 after structural relaxation.

ΔE to the lowest computed polymorph = 402 meV per atom
electronic total energy = -5.092 eV per atom
DFT formation energy = 5 kJ per mole of atoms
DOS at the Fermi energy = 1.75 states/eV/f.u.

a = 3.6005 Å, b = 3.6005 Å, c = 15.4916 Å
α = 90.00°, β = 90.00°, γ = 120.00°
Space group P6_3/mmc (No. 194)
Asymmetric unit:
1 Cd 0.0000 0.0000 0.0000 [2 per cell]
2 B 0.3333 0.6667 0.2500 [2 per cell]
3 Pt 0.0000 0.0000 0.2500 [2 per cell]
4 Pt 0.3333 0.6667 0.1181 [4 per cell]

(8)
DFT (PBE) results for Dy8Ru3Pb2 after structural relaxation.

electronic total energy = -5.883 eV per atom
DFT formation energy = -33 kJ per mole of atoms
DOS at the Fermi energy = 8.39 states/eV/f.u.

a = 8.949 Å, b = 4.925 Å, c = 8.957 Å
α = 90.00°, β = 114.05°, γ = 90.00°
Space group P2/m (No. 10)
Asymmetric unit:
1 Dy 0.107 0.000 0.393 [2 per cell]
2 Dy 0.147 0.500 0.864 [2 per cell]
3 Dy 0.364 0.500 0.648 [2 per cell]
4 Dy 0.389 0.000 0.111 [2 per cell]
5 Ru 0.252 0.000 0.752 [2 per cell]
6 Ru 0.500 0.500 0.000 [1 per cell]
7 Pb 0.244 0.500 0.257 [2 per cell]